Record 1
DFT (PBE) results for an optimized crystal structure of Sc2InIr.

Lattice parameters (Å, degrees): 5.281 5.281 5.281 133.33 133.33 68.14
Fractional coordinates of all 4 atoms:
1 Sc 0.000 0.000 0.000
2 Sc 0.750 0.250 0.500
3 In 0.250 0.750 0.500
4 Ir 0.500 0.500 0.000

E, eV per formula unit: -26.278
ΔE_f, eV per atom: -0.504
Spin magnetization, μB/atom: 0.00

=====

Record 2
DFT (PBE) results for an optimized crystal structure of CaPm3Ag3.

Lattice parameters (Å, degrees): 7.470 7.470 7.171 90.95 90.95 94.36
Fractional coordinates of all 14 atoms:
1 Ca 0.239 0.239 0.366
2 Ca 0.761 0.761 0.634
3 Pm 0.137 0.137 0.867
4 Pm 0.240 0.760 0.500
5 Pm 0.317 0.683 0.000
6 Pm 0.683 0.317 0.000
7 Pm 0.760 0.240 0.500
8 Pm 0.863 0.863 0.133
9 Ag 0.015 0.501 0.770
10 Ag 0.431 0.431 0.685
11 Ag 0.499 0.985 0.230
12 Ag 0.501 0.015 0.770
13 Ag 0.569 0.569 0.315
14 Ag 0.985 0.499 0.230

E, eV per formula unit: -25.733
ΔE_f, eV per atom: -0.132
Spin magnetization, μB/atom: 0.00

=====

Record 3
DFT (PBE) results for an optimized crystal structure of SrIF3.

Lattice parameters (Å, degrees): 4.789 4.789 4.789 90.00 90.00 90.00
Fractional coordinates of all 5 atoms:
1 Sr 0.000 0.000 0.000
2 I 0.500 0.500 0.500
3 F 0.000 0.000 0.500
4 F 0.000 0.500 0.000
5 F 0.500 0.000 0.000

E, eV per formula unit: -19.972
Spin magnetization, μB/atom: 0.40
Raw formation energy, kcal/mol of atoms: -51.31
Relative energy among the computed polymorphs, meV per atom: 0

=====

Record 4
DFT (PBE) results for an optimized crystal structure of Ac2Ag3Ge2.

Lattice parameters (Å, degrees): 6.039 6.039 7.002 106.36 106.36 45.77
Fractional coordinates of all 7 atoms:
1 Ac 0.144 0.144 0.264
2 Ac 0.856 0.856 0.736
3 Ag 0.397 0.397 0.081
4 Ag 0.500 0.500 0.500
5 Ag 0.603 0.603 0.919
6 Ge 0.155 0.155 0.751
7 Ge 0.845 0.845 0.249

E, eV per formula unit: -28.766
ΔE_f, eV per atom: -0.394
Spin magnetization, μB/atom: 0.00

=====

Record 5
DFT (PBE) results for an optimized crystal structure of RbBi3Br.

Lattice parameters (Å, degrees): 6.333 6.333 6.333 90.00 90.00 90.00
Fractional coordinates of all 5 atoms:
1 Rb 0.000 0.000 0.000
2 Bi 0.000 0.000 0.500
3 Bi 0.000 0.500 0.000
4 Bi 0.500 0.000 0.000
5 Br 0.500 0.500 0.500

E, eV per formula unit: -8.301
Spin magnetization, μB/atom: 0.03
Raw formation energy, kcal/mol of atoms: 27.59
Relative energy among the computed polymorphs, meV per atom: 844

=====

Record 6
DFT (PBE) results for an optimized crystal structure of ZnSb3N.

Lattice parameters (Å, degrees): 4.762 4.762 4.762 90.00 90.00 90.00
Fractional coordinates of all 5 atoms:
1 Zn 0.000 0.000 0.000
2 Sb 0.000 0.500 0.500
3 Sb 0.500 0.000 0.500
4 Sb 0.500 0.500 0.000
5 N 0.500 0.500 0.500

E, eV per formula unit: -18.817
Spin magnetization, μB/atom: 0.00
Raw formation energy, kcal/mol of atoms: 14.53
Relative energy among the computed polymorphs, meV per atom: 0

=====

Record 7
DFT (PBE) results for an optimized crystal structure of LaPrSe2Cl.

Lattice parameters (Å, degrees): 4.303 4.303 14.355 90.00 90.00 90.00
Fractional coordinates of all 10 atoms:
1 La 0.250 0.250 0.096
2 La 0.750 0.750 0.904
3 Pr 0.250 0.250 0.644
4 Pr 0.750 0.750 0.356
5 Se 0.250 0.250 0.304
6 Se 0.250 0.250 0.877
7 Se 0.750 0.750 0.123
8 Se 0.750 0.750 0.696
9 Cl 0.250 0.750 0.500
10 Cl 0.750 0.250 0.500

E, eV per formula unit: -28.407
Spin magnetization, μB/atom: 0.00
Raw formation energy, kcal/mol of atoms: -45.59

=====

Record 8
DFT (PBE) results for an optimized crystal structure of AcSm3Rh8.

Lattice parameters (Å, degrees): 5.422 5.422 8.922 90.00 90.00 120.00
Fractional coordinates of all 12 atoms:
1 Ac 0.000 0.000 0.000
2 Sm 0.000 0.000 0.367
3 Sm 0.667 0.333 0.498
4 Sm 0.667 0.333 0.859
5 Rh 0.166 0.332 0.677
6 Rh 0.166 0.834 0.677
7 Rh 0.333 0.667 0.432
8 Rh 0.333 0.667 0.931
9 Rh 0.502 0.003 0.188
10 Rh 0.502 0.498 0.188
11 Rh 0.668 0.834 0.677
12 Rh 0.997 0.498 0.188

E, eV per formula unit: -84.426
ΔE_f, eV per atom: -0.612
Spin magnetization, μB/atom: 0.00

=====

Record 9
DFT (PBE) results for an optimized crystal structure of NbCS2Cl.

Lattice parameters (Å, degrees): 4.143 4.143 4.205 90.00 90.00 90.00
Fractional coordinates of all 5 atoms:
1 Nb 0.000 0.000 0.000
2 C 0.500 0.500 0.500
3 S 0.000 0.500 0.500
4 S 0.500 0.000 0.500
5 Cl 0.500 0.500 0.000

E, eV per formula unit: -24.312
Spin magnetization, μB/atom: 0.35
Raw formation energy, kcal/mol of atoms: 23.44
Relative energy among the computed polymorphs, meV per atom: 41

=====

Record 10
DFT (PBE) results for an optimized crystal structure of Pb3W.

Lattice parameters (Å, degrees): 3.187 3.187 10.964 90.00 90.00 108.11
Fractional coordinates of all 4 atoms:
1 Pb 0.000 0.000 0.000
2 Pb 0.500 0.500 0.294
3 Pb 0.500 0.500 0.706
4 W 0.000 0.000 0.500

E, eV per formula unit: -21.250
ΔE_f, eV per atom: 0.707
Spin magnetization, μB/atom: 0.00
Relative energy among the computed polymorphs, meV per atom: 249

=====

Record 11
DFT (PBE) results for an optimized crystal structure of LiMg4Ru.

Lattice parameters (Å, degrees): 5.504 5.504 5.504 60.00 60.00 60.00
Fractional coordinates of all 6 atoms:
1 Li 0.000 0.000 0.000
2 Mg 0.128 0.624 0.624
3 Mg 0.624 0.128 0.624
4 Mg 0.624 0.624 0.128
5 Mg 0.624 0.624 0.624
6 Ru 0.250 0.250 0.250

E, eV per formula unit: -15.331
ΔE_f, eV per atom: 0.373
Spin magnetization, μB/atom: 0.12

=====

Record 12
DFT (PBE) results for an optimized crystal structure of Pm4GeCCl2.

Lattice parameters (Å, degrees): 7.045 3.975 7.388 90.00 108.45 90.00
Fractional coordinates of all 8 atoms:
1 Pm 0.210 0.000 0.199
2 Pm 0.230 0.500 0.790
3 Pm 0.770 0.500 0.210
4 Pm 0.790 0.000 0.801
5 Ge 0.500 0.000 0.000
6 C 0.000 0.500 0.000
7 Cl 0.000 0.000 0.500
8 Cl 0.500 0.500 0.500

E, eV per formula unit: -45.327
Spin magnetization, μB/atom: 0.00
Raw formation energy, kcal/mol of atoms: -25.34

=====

Record 13
DFT (PBE) results for an optimized crystal structure of IrPt2PbS.

Lattice parameters (Å, degrees): 5.129 5.129 4.252 90.00 90.00 90.00
Fractional coordinates of all 5 atoms:
1 Ir 0.000 0.000 0.000
2 Pt 0.000 0.500 0.000
3 Pt 0.500 0.000 0.000
4 Pb 0.500 0.500 0.500
5 S 0.000 0.000 0.500

E, eV per formula unit: -26.224
Spin magnetization, μB/atom: 0.00
Raw formation energy, kcal/mol of atoms: 11.78
Relative energy among the computed polymorphs, meV per atom: 0

=====

Record 14
DFT (PBE) results for an optimized crystal structure of ErAlPd.

Lattice parameters (Å, degrees): 4.428 4.428 3.600 90.00 90.00 120.00
Fractional coordinates of all 3 atoms:
1 Er 0.000 0.000 0.000
2 Al 0.333 0.667 0.500
3 Pd 0.667 0.333 0.500

E, eV per formula unit: -15.850
ΔE_f, eV per atom: -0.784
Spin magnetization, μB/atom: 0.00

=====

Record 15
DFT (PBE) results for an optimized crystal structure of Nd3Sm2Ge4.

Lattice parameters (Å, degrees): 8.185 8.035 7.850 90.00 112.14 90.00
Fractional coordinates of all 18 atoms:
1 Nd 0.000 0.000 0.000
2 Nd 0.000 0.500 0.500
3 Nd 0.299 0.181 0.434
4 Nd 0.299 0.319 0.934
5 Nd 0.701 0.681 0.066
6 Nd 0.701 0.819 0.566
7 Sm 0.266 0.664 0.275
8 Sm 0.266 0.836 0.775
9 Sm 0.734 0.164 0.225
10 Sm 0.734 0.336 0.725
11 Ge 0.007 0.126 0.622
12 Ge 0.007 0.374 0.122
13 Ge 0.413 0.535 0.677
14 Ge 0.413 0.965 0.177
15 Ge 0.587 0.035 0.823
16 Ge 0.587 0.465 0.323
17 Ge 0.993 0.626 0.878
18 Ge 0.993 0.874 0.378

E, eV per formula unit: -49.591
ΔE_f, eV per atom: -0.820
Spin magnetization, μB/atom: 0.00

=====

Record 16
DFT (PBE) results for an optimized crystal structure of CsAl2Pd.

Lattice parameters (Å, degrees): 5.139 5.139 5.139 60.00 60.00 60.00
Fractional coordinates of all 4 atoms:
1 Cs 0.000 0.000 0.000
2 Al 0.250 0.250 0.250
3 Al 0.750 0.750 0.750
4 Pd 0.500 0.500 0.500

E, eV per formula unit: -11.266
ΔE_f, eV per atom: 0.566
Spin magnetization, μB/atom: 0.00

=====

Record 17
DFT (PBE) results for an optimized crystal structure of LaTc2Te.

Lattice parameters (Å, degrees): 10.039 10.039 10.039 153.94 153.94 37.19
Fractional coordinates of all 8 atoms:
1 La 0.000 0.000 0.000
2 La 0.750 0.250 0.500
3 Tc 0.254 0.625 0.129
4 Tc 0.375 0.504 0.629
5 Tc 0.496 0.125 0.871
6 Tc 0.875 0.746 0.371
7 Te 0.250 0.750 0.500
8 Te 0.500 0.500 0.000

E, eV per formula unit: -27.950
Spin magnetization, μB/atom: 0.00
Raw formation energy, kcal/mol of atoms: 4.91
Relative energy among the computed polymorphs, meV per atom: 464

=====

Record 18
DFT (PBE) results for an optimized crystal structure of TaCr2GeAu.

Lattice parameters (Å, degrees): 4.707 4.707 4.952 90.00 90.00 90.00
Fractional coordinates of all 5 atoms:
1 Ta 0.000 0.000 0.000
2 Cr 0.000 0.500 0.000
3 Cr 0.500 0.000 0.000
4 Ge 0.000 0.000 0.500
5 Au 0.500 0.500 0.500

E, eV per formula unit: -32.462
ΔE_f, eV per atom: 1.306
Spin magnetization, μB/atom: 1.09

=====

Record 19
DFT (PBE) results for an optimized crystal structure of Pm2ZrTl.

Lattice parameters (Å, degrees): 12.081 12.081 12.081 16.01 16.01 16.01
Fractional coordinates of all 4 atoms:
1 Pm 0.088 0.088 0.088
2 Pm 0.912 0.912 0.912
3 Zr 0.000 0.000 0.000
4 Tl 0.500 0.500 0.500

E, eV per formula unit: -19.411
ΔE_f, eV per atom: 0.251
Spin magnetization, μB/atom: 0.05
Relative energy among the computed polymorphs, meV per atom: 331

=====

Record 20
DFT (PBE) results for an optimized crystal structure of Zn3Ga12H5.

Lattice parameters (Å, degrees): 11.760 11.760 11.760 109.47 109.47 109.47
Fractional coordinates of all 80 atoms:
1 Zn 0.125 0.250 0.375
2 Zn 0.125 0.375 0.750
3 Zn 0.250 0.375 0.125
4 Zn 0.250 0.875 0.625
5 Zn 0.375 0.125 0.250
6 Zn 0.375 0.750 0.125
7 Zn 0.625 0.250 0.875
8 Zn 0.625 0.875 0.750
9 Zn 0.750 0.125 0.375
10 Zn 0.750 0.625 0.875
11 Zn 0.875 0.625 0.250
12 Zn 0.875 0.750 0.625
13 Ga 0.016 0.201 0.105
14 Ga 0.016 0.315 0.911
15 Ga 0.089 0.605 0.404
16 Ga 0.089 0.984 0.685
17 Ga 0.096 0.701 0.685
18 Ga 0.096 0.895 0.411
19 Ga 0.105 0.016 0.201
20 Ga 0.105 0.589 0.904
21 Ga 0.185 0.201 0.596
22 Ga 0.185 0.484 0.589
23 Ga 0.201 0.105 0.016
24 Ga 0.201 0.596 0.185
25 Ga 0.299 0.315 0.904
26 Ga 0.299 0.484 0.395
27 Ga 0.315 0.904 0.299
28 Ga 0.315 0.911 0.016
29 Ga 0.395 0.299 0.484
30 Ga 0.395 0.596 0.911
31 Ga 0.404 0.089 0.605
32 Ga 0.404 0.815 0.799
33 Ga 0.411 0.096 0.895
34 Ga 0.411 0.815 0.516
35 Ga 0.484 0.395 0.299
36 Ga 0.484 0.589 0.185
37 Ga 0.516 0.411 0.815
38 Ga 0.516 0.605 0.701
39 Ga 0.589 0.185 0.484
40 Ga 0.589 0.904 0.105
41 Ga 0.596 0.185 0.201
42 Ga 0.596 0.911 0.395
43 Ga 0.605 0.404 0.089
44 Ga 0.605 0.701 0.516
45 Ga 0.685 0.089 0.984
46 Ga 0.685 0.096 0.701
47 Ga 0.701 0.516 0.605
48 Ga 0.701 0.685 0.096
49 Ga 0.799 0.404 0.815
50 Ga 0.799 0.895 0.984
51 Ga 0.815 0.516 0.411
52 Ga 0.815 0.799 0.404
53 Ga 0.895 0.411 0.096
54 Ga 0.895 0.984 0.799
55 Ga 0.904 0.105 0.589
56 Ga 0.904 0.299 0.315
57 Ga 0.911 0.016 0.315
58 Ga 0.911 0.395 0.596
59 Ga 0.984 0.685 0.089
60 Ga 0.984 0.799 0.895
61 H 0.000 0.000 0.000
62 H 0.000 0.000 0.500
63 H 0.000 0.500 0.000
64 H 0.000 0.500 0.500
65 H 0.125 0.750 0.875
66 H 0.125 0.875 0.250
67 H 0.250 0.125 0.875
68 H 0.250 0.625 0.375
69 H 0.375 0.250 0.625
70 H 0.375 0.625 0.750
71 H 0.500 0.000 0.000
72 H 0.500 0.000 0.500
73 H 0.500 0.500 0.000
74 H 0.500 0.500 0.500
75 H 0.625 0.375 0.250
76 H 0.625 0.750 0.375
77 H 0.750 0.375 0.625
78 H 0.750 0.875 0.125
79 H 0.875 0.125 0.750
80 H 0.875 0.250 0.125

E, eV per formula unit: -51.673
Spin magnetization, μB/atom: 0.00

=====

Record 21
DFT (PBE) results for an optimized crystal structure of RbTlSN2.

Lattice parameters (Å, degrees): 4.761 4.761 5.323 90.00 90.00 90.00
Fractional coordinates of all 5 atoms:
1 Rb 0.000 0.000 0.000
2 Tl 0.500 0.500 0.500
3 S 0.500 0.500 0.000
4 N 0.000 0.500 0.500
5 N 0.500 0.000 0.500

E, eV per formula unit: -17.892
Spin magnetization, μB/atom: 0.81
Raw formation energy, kcal/mol of atoms: 28.69
Relative energy among the computed polymorphs, meV per atom: 0

=====

Record 22
DFT (PBE) results for an optimized crystal structure of FeCoRh3.

Lattice parameters (Å, degrees): 4.369 4.369 4.369 90.00 90.00 90.00
Fractional coordinates of all 5 atoms:
1 Fe 0.000 0.000 0.000
2 Co 0.500 0.500 0.500
3 Rh 0.000 0.000 0.500
4 Rh 0.000 0.500 0.000
5 Rh 0.500 0.000 0.000

E, eV per formula unit: -30.508
ΔE_f, eV per atom: 1.423
Spin magnetization, μB/atom: 0.00
Relative energy among the computed polymorphs, meV per atom: 1321